(i)
A geometry-optimized RbPtNO structure, computed with PBE-GGA.

abc: 4.603 4.603 7.158
angles: 90.00 90.00 90.00
Space group P4/nmm (No. 129, origin choice 2)
Asymmetric unit:
Rb 0.250 0.750 0.000 x2
Pt 0.250 0.250 0.457 x2
N 0.250 0.250 0.202 x2
O 0.250 0.750 0.500 x2


(ii)
A geometry-optimized RbPtNO structure, computed with PBE-GGA.

abc: 6.503 8.292 5.315
angles: 90.00 90.00 90.00
Space group Pca2_1 (No. 29)
Asymmetric unit:
Rb 0.082 0.156 0.000 x4
Pt 0.155 0.608 0.005 x4
N 0.138 0.491 0.696 x4
O 0.035 0.821 0.995 x4


Most stable to least stable, the ends of the list are (ii) and (i).


(i)
A geometry-optimized SbPtNO structure, computed with PBE-GGA.

abc: 4.118 4.118 6.933
angles: 90.00 90.00 90.00
Space group P4/nmm (No. 129, origin choice 2)
Asymmetric unit:
Sb 0.250 0.250 0.156 x2
Pt 0.250 0.750 0.500 x2
N 0.250 0.250 0.571 x2
O 0.250 0.750 0.000 x2


(ii)
A geometry-optimized SbPtNO structure, computed with PBE-GGA.

abc: 3.568 6.729 5.363
angles: 90.00 90.00 90.00
Space group Pmc2_1 (No. 26)
Asymmetric unit:
Sb 0.000 0.186 0.000 x2
Pt 0.500 0.490 0.085 x2
N 0.500 0.265 0.804 x2
O 0.000 0.084 0.348 x2


Most stable to least stable, the ends of the list are (ii) and (i).


(i)
A geometry-optimized SmPtNO structure, computed with PBE-GGA.

abc: 6.231 7.545 5.450
angles: 90.00 90.00 90.00
Space group Pca2_1 (No. 29)
Asymmetric unit:
Sm 0.006 0.140 0.000 x4
Pt 0.174 0.436 0.622 x4
N 0.043 0.398 0.290 x4
O 0.247 0.989 0.245 x4


(ii)
A geometry-optimized SmPtNO structure, computed with PBE-GGA.

abc: 4.212 4.212 7.216
angles: 90.00 90.00 90.00
Space group P4/nmm (No. 129, origin choice 2)
Asymmetric unit:
Sm 0.250 0.250 0.141 x2
Pt 0.250 0.750 0.500 x2
N 0.250 0.250 0.469 x2
O 0.250 0.750 0.000 x2


(iii)
A geometry-optimized SmPtNO structure, computed with PBE-GGA.

abc: 3.507 3.507 4.524
angles: 90.00 90.00 90.00
Space group P4/mmm (No. 123)
Asymmetric unit:
Sm 0.000 0.000 0.000 x1
Pt 0.500 0.500 0.500 x1
N 0.500 0.500 0.000 x1
O 0.000 0.000 0.500 x1


(iv)
A geometry-optimized SmPtNO structure, computed with PBE-GGA.

abc: 3.728 6.377 5.533
angles: 90.00 90.00 90.00
Space group Pmc2_1 (No. 26)
Asymmetric unit:
Sm 0.000 0.245 0.000 x2
Pt 0.500 0.173 0.481 x2
N 0.000 0.171 0.474 x2
O 0.500 0.399 0.897 x2


Most stable to least stable, the ends of the list are (i) and (iii).


(i)
A geometry-optimized SmPtNO structure, computed with PBE-GGA.

abc: 4.945 4.945 4.510
angles: 90.00 90.00 90.00
Space group P4/nmm (No. 129, origin choice 2)
Asymmetric unit:
Sm 0.250 0.750 0.000 x2
Pt 0.250 0.250 0.496 x2
N 0.250 0.250 0.995 x2
O 0.250 0.750 0.500 x2


(ii)
A geometry-optimized SmPtNO structure, computed with PBE-GGA.

abc: 4.378 6.748 4.636
angles: 90.00 90.00 90.00
Space group Pmc2_1 (No. 26)
Asymmetric unit:
Sm 0.000 0.197 0.000 x2
Pt 0.500 0.407 0.512 x2
N 0.500 0.308 0.917 x2
O 0.000 0.134 0.492 x2


Most stable to least stable, the ends of the list are (ii) and (i).


(i)
A geometry-optimized TbPtNO structure, computed with PBE-GGA.

abc: 3.881 3.881 7.485
angles: 90.00 90.00 90.00
Space group P4/nmm (No. 129, origin choice 2)
Asymmetric unit:
Tb 0.250 0.250 0.149 x2
Pt 0.250 0.750 0.500 x2
N 0.250 0.250 0.659 x2
O 0.250 0.750 0.000 x2


(ii)
A geometry-optimized TbPtNO structure, computed with PBE-GGA.

abc: 6.115 7.514 5.381
angles: 90.00 90.00 90.00
Space group Pca2_1 (No. 29)
Asymmetric unit:
Tb 0.006 0.135 0.000 x4
Pt 0.173 0.428 0.611 x4
N 0.036 0.393 0.276 x4
O 0.247 0.988 0.245 x4


Most stable to least stable, the ends of the list are (ii) and (i).


(i)
A geometry-optimized TbPtNO structure, computed with PBE-GGA.

abc: 4.262 6.797 4.457
angles: 90.00 90.00 90.00
Space group Pmc2_1 (No. 26)
Asymmetric unit:
Tb 0.000 0.194 0.000 x2
Pt 0.500 0.395 0.509 x2
N 0.500 0.316 0.952 x2
O 0.000 0.129 0.497 x2


(ii)
A geometry-optimized TbPtNO structure, computed with PBE-GGA.

abc: 3.742 6.322 5.196
angles: 90.00 90.00 90.00
Space group Pmc2_1 (No. 26)
Asymmetric unit:
Tb 0.000 0.250 0.000 x2
Pt 0.500 0.156 0.500 x2
N 0.000 0.160 0.493 x2
O 0.500 0.403 0.924 x2


Most stable to least stable, the ends of the list are (i) and (ii).


(i)
A geometry-optimized YPtNO structure, computed with PBE-GGA.

abc: 4.184 4.184 7.079
angles: 90.00 90.00 90.00
Space group P4/nmm (No. 129, origin choice 2)
Asymmetric unit:
Y 0.250 0.250 0.132 x2
Pt 0.250 0.750 0.500 x2
N 0.250 0.250 0.452 x2
O 0.250 0.750 0.000 x2


(ii)
A geometry-optimized YPtNO structure, computed with PBE-GGA.

abc: 6.112 7.500 5.374
angles: 90.00 90.00 90.00
Space group Pca2_1 (No. 29)
Asymmetric unit:
Y 0.006 0.134 0.000 x4
Pt 0.173 0.427 0.610 x4
N 0.035 0.392 0.273 x4
O 0.247 0.987 0.246 x4


(iii)
A geometry-optimized YPtNO structure, computed with PBE-GGA.

abc: 3.891 3.891 7.431
angles: 90.00 90.00 90.00
Space group P4/nmm (No. 129, origin choice 2)
Asymmetric unit:
Y 0.250 0.250 0.147 x2
Pt 0.250 0.750 0.500 x2
N 0.250 0.250 0.658 x2
O 0.250 0.750 0.000 x2


Most stable to least stable, the ends of the list are (ii) and (iii).


(i)
A geometry-optimized YPtNO structure, computed with PBE-GGA.

abc: 3.953 6.263 5.120
angles: 90.00 90.00 90.00
Space group Pmc2_1 (No. 26)
Asymmetric unit:
Y 0.000 0.190 0.000 x2
Pt 0.500 0.422 0.489 x2
N 0.500 0.287 0.829 x2
O 0.000 0.149 0.421 x2


(ii)
A geometry-optimized YPtNO structure, computed with PBE-GGA.

abc: 5.123 3.736 6.670
angles: 90.00 90.18 90.00
Space group Pm (No. 6)
Asymmetric unit:
Y 0.000 0.000 0.000 x1
Y 0.500 0.000 0.499 x1
Pt 0.002 0.500 0.391 x1
Pt 0.503 0.500 0.108 x1
N 0.498 0.000 0.100 x1
N 0.998 0.000 0.399 x1
O 0.456 0.500 0.644 x1
O 0.956 0.500 0.854 x1


(iii)
A geometry-optimized YPtNO structure, computed with PBE-GGA.

abc: 4.882 4.882 4.418
angles: 90.00 90.00 90.00
Space group P4/nmm (No. 129, origin choice 2)
Asymmetric unit:
Y 0.250 0.750 0.000 x2
Pt 0.250 0.250 0.498 x2
N 0.250 0.250 0.998 x2
O 0.250 0.750 0.500 x2


Most stable to least stable, the ends of the list are (ii) and (iii).